DFT (PBE-GGA) results for a relaxed structure of La3Sm2Dy5.

The structure in CIF format:
```
data_La3Sm2Dy5
_chemical_formula_sum 'La12 Sm8 Dy20'
_space_group_name_H-M_alt 'C 1 2/c 1'
_space_group_IT_number 15
_space_group_name_Hall '-C 2yc'
_cell_length_a 10.757
_cell_length_b 16.752
_cell_length_c 9.257
_cell_angle_alpha 90.00
_cell_angle_beta 125.47
_cell_angle_gamma 90.00
loop_
_atom_site_label
_atom_site_fract_x
_atom_site_fract_y
_atom_site_fract_z
_atom_site_occupancy
La1 0.000 0.232 0.250 1
La2 0.146 0.125 0.048 1
Sm1 0.147 0.382 0.540 1
Dy1 0.000 0.026 0.250 1
Dy2 0.000 0.275 0.750 1
Dy3 0.000 0.470 0.750 1
Dy4 0.242 0.387 0.234 1
```

ΔE_f ... 0.178 eV per atom

=====

DFT (PBE-GGA) results for a relaxed structure of TmZn3Au2.

The structure in CIF format:
```
data_TmZn3Au2
_chemical_formula_sum 'Tm4 Zn12 Au8'
_space_group_name_H-M_alt 'C 1 2/m 1'
_space_group_IT_number 12
_space_group_name_Hall '-C 2y'
_cell_length_a 13.980
_cell_length_b 4.183
_cell_length_c 8.550
_cell_angle_alpha 90.00
_cell_angle_beta 118.04
_cell_angle_gamma 90.00
loop_
_atom_site_label
_atom_site_fract_x
_atom_site_fract_y
_atom_site_fract_z
_atom_site_occupancy
Tm1 0.137 0.000 0.013 1
Zn1 0.055 0.000 0.395 1
Zn2 0.092 0.500 0.694 1
Zn3 0.209 0.500 0.528 1
Au1 0.049 0.500 0.186 1
Au2 0.221 0.000 0.745 1
```

ΔE_f ... -0.434 eV per atom

=====

DFT (PBE-GGA) results for a relaxed structure of Ti3Sb2H2.

The structure in CIF format:
```
data_Ti3Sb2H2
_chemical_formula_sum 'Ti6 Sb4 H4'
_space_group_name_H-M_alt 'P 1 21/c 1'
_space_group_IT_number 14
_space_group_name_Hall '-P 2ybc'
_cell_length_a 5.317
_cell_length_b 6.096
_cell_length_c 6.922
_cell_angle_alpha 90.00
_cell_angle_beta 112.39
_cell_angle_gamma 90.00
loop_
_atom_site_label
_atom_site_fract_x
_atom_site_fract_y
_atom_site_fract_z
_atom_site_occupancy
Ti1 0.000 0.000 0.000 1
Ti2 0.394 0.185 0.785 1
Sb1 0.192 0.596 0.909 1
H1 0.370 0.093 0.067 1
```

Relative energy among the computed polymorphs ... 0.0 meV/atom

=====

DFT (PBE-GGA) results for a relaxed structure of Nd5Ho2Sc.

The structure in CIF format:
```
data_Nd5Ho2Sc
_chemical_formula_sum 'Nd20 Ho8 Sc4'
_space_group_name_H-M_alt 'C 1 2/c 1'
_space_group_IT_number 15
_space_group_name_Hall '-C 2yc'
_cell_length_a 16.272
_cell_length_b 9.957
_cell_length_c 6.754
_cell_angle_alpha 90.00
_cell_angle_beta 103.18
_cell_angle_gamma 90.00
loop_
_atom_site_label
_atom_site_fract_x
_atom_site_fract_y
_atom_site_fract_z
_atom_site_occupancy
Nd1 0.000 0.065 0.250 1
Nd2 0.096 0.399 0.160 1
Nd3 0.210 0.078 0.057 1
Ho1 0.089 0.256 0.663 1
Sc1 0.250 0.250 0.500 1
```

ΔE_f ... 0.122 eV per atom

=====

DFT (PBE-GGA) results for a relaxed structure of ThTl2Re3O12.

The structure in CIF format:
```
data_ThTl2Re3O12
_chemical_formula_sum 'Th3 Tl6 Re9 O36'
_space_group_name_H-M_alt 'R -3 m'
_space_group_IT_number 166
_space_group_name_Hall '-R 3 2"'
_cell_length_a 7.3997
_cell_length_b 7.3997
_cell_length_c 19.2505
_cell_angle_alpha 90.00
_cell_angle_beta 90.00
_cell_angle_gamma 120.00
loop_
_atom_site_label
_atom_site_fract_x
_atom_site_fract_y
_atom_site_fract_z
_atom_site_occupancy
Th1 0.0000 0.0000 0.0000 1
Tl1 0.0000 0.0000 0.3395 1
Re1 0.0000 0.5000 0.5000 1
O1 0.0336 0.5168 0.5993 1
O2 0.0908 0.5454 0.8409 1
```

Formation energy (no corrections) ... -3053 kJ/mol of formula units

=====

DFT (PBE-GGA) results for a relaxed structure of CsAs2Ir.

The structure in CIF format:
```
data_CsAs2Ir
_chemical_formula_sum 'Cs3 As6 Ir3'
_space_group_name_H-M_alt 'R -3 m'
_space_group_IT_number 166
_space_group_name_Hall '-R 3 2"'
_cell_length_a 4.1803
_cell_length_b 4.1803
_cell_length_c 20.8957
_cell_angle_alpha 90.00
_cell_angle_beta 90.00
_cell_angle_gamma 120.00
loop_
_atom_site_label
_atom_site_fract_x
_atom_site_fract_y
_atom_site_fract_z
_atom_site_occupancy
Cs1 0.0000 0.0000 0.0000 1
As1 0.0000 0.0000 0.2062 1
Ir1 0.0000 0.0000 0.5000 1
```

ΔE_f ... -0.287 eV per atom
Relative energy among the computed polymorphs ... 0.0 meV/atom

=====

DFT (PBE-GGA) results for a relaxed structure of HfTeIr.

The structure in CIF format:
```
data_HfTeIr
_chemical_formula_sum 'Hf6 Te6 Ir6'
_space_group_name_H-M_alt 'R -3 m'
_space_group_IT_number 166
_space_group_name_Hall '-R 3 2"'
_cell_length_a 4.2202
_cell_length_b 4.2202
_cell_length_c 31.1619
_cell_angle_alpha 90.00
_cell_angle_beta 90.00
_cell_angle_gamma 120.00
loop_
_atom_site_label
_atom_site_fract_x
_atom_site_fract_y
_atom_site_fract_z
_atom_site_occupancy
Hf1 0.0000 0.0000 0.0550 1
Te1 0.0000 0.0000 0.2247 1
Ir1 0.0000 0.0000 0.3339 1
```

Relative energy among the computed polymorphs ... 126.8 meV/atom
Formation energy (no corrections) ... -171 kJ/mol of formula units

=====

DFT (PBE-GGA) results for a relaxed structure of Os2AuCl.

The structure in CIF format:
```
data_Os2AuCl
_chemical_formula_sum 'Os8 Au4 Cl4'
_space_group_name_H-M_alt 'F -4 3 m'
_space_group_IT_number 216
_space_group_name_Hall 'F -4 2 3'
_cell_length_a 6.363
_cell_length_b 6.363
_cell_length_c 6.363
_cell_angle_alpha 90.00
_cell_angle_beta 90.00
_cell_angle_gamma 90.00
loop_
_atom_site_label
_atom_site_fract_x
_atom_site_fract_y
_atom_site_fract_z
_atom_site_occupancy
Os1 0.000 0.000 0.000 1
Os2 0.250 0.250 0.250 1
Au1 0.000 0.000 0.500 1
Cl1 0.250 0.250 0.750 1
```

Relative energy among the computed polymorphs ... 955.5 meV/atom
Formation energy (no corrections) ... 495 kJ/mol of formula units

=====

Which ρ belongs to each record? In order, 7.48; 11.43; 6.23; 6.83; 7.59; 7.48; 10.33; 15.80 g/cm³.
Which total magnetic moment belongs to each record? In order, 0.0; 0.0; 0.0; 0.0; 3.0; 0.0; 0.0; 0.0 μB per formula unit.
Which energy belongs to each record? In order, -4.545; -2.909; -5.895; -4.794; -7.813; -5.040; -7.909; -5.613 eV/atom.